(1)
Computed, not measured: an optimized crystal structure of Zr3BiH at the PBE level of DFT.

Unit cell a=5.6940 b=5.7613 c=7.4033 alpha=77.84 beta=101.78 gamma=62.36
Closest atoms and distances in Å follow each position.
Positions (direct):
1 Zr 0.3679 0.6921 0.8191  2 H 2.06-2.18
2 Zr 0.9765 0.2841 0.8192  2 H 2.06-2.18
3 Zr 0.4195 0.7409 0.3137  2 Zr 2.97, 4 Bi 3.08
4 H 0.6215 0.2686 0.8193  4 Zr 2.06-2.18
5 Zr 0.9249 0.2353 0.3246  2 Zr 2.97, 4 Bi 3.08
6 Zr 0.5637 0.0969 0.6014  2 H 2.11
7 H 0.7229 0.7076 0.8190  4 Zr 2.06-2.18
8 Bi 0.0055 0.6547 0.4856  9 Zr 2.99-3.08, 2 H 3.20
9 Zr 0.7807 0.8793 0.0369  2 H 2.11
10 Bi 0.3388 0.3215 0.1527  9 Zr 2.99-3.08, 2 H 3.20

Magnetic moment   0.00 μB/cell
Relative energy among the computed polymorphs   0.00 kcal/mol of atoms



(2)
Computed, not measured: an optimized crystal structure of Mn6Co at the PBE level of DFT.

Unit cell a=4.4294 b=7.7139 c=9.0993 alpha=90.00 beta=90.00 gamma=90.00
Closest atoms and distances in Å follow each position.
Positions (direct):
1 Mn 0.6428 0.9168 0.0765  4 Mn 2.26-2.48, 1 Co 2.53
2 Mn 0.1428 0.4168 0.4235  4 Mn 2.26-2.48, 1 Co 2.53
3 Mn 0.1414 0.7500 0.7416  2 Co 2.29-2.47, 8 Mn 2.31-2.49
4 Mn 0.3586 0.7500 0.2416  2 Co 2.29-2.47, 8 Mn 2.31-2.49
5 Co 0.8813 0.7500 0.3377  6 Mn 2.29-2.53
6 Mn 0.1030 0.5056 0.1617  5 Mn 2.26-2.48, 1 Co 2.33
7 Mn 0.8586 0.2500 0.2584  2 Co 2.29-2.47, 8 Mn 2.31-2.49
8 Mn 0.6125 0.2500 0.5045  6 Mn 2.31-2.56
9 Mn 0.8875 0.2500 0.0045  6 Mn 2.31-2.56
10 Mn 0.6414 0.2500 0.7584  2 Co 2.29-2.47, 8 Mn 2.31-2.49
11 Co 0.3813 0.2500 0.1623  6 Mn 2.29-2.53
12 Mn 0.6030 0.4944 0.3383  5 Mn 2.26-2.48, 1 Co 2.33
13 Mn 0.3970 0.9944 0.6617  5 Mn 2.26-2.48, 1 Co 2.33
14 Mn 0.1030 0.9944 0.1617  5 Mn 2.26-2.48, 1 Co 2.33
15 Mn 0.8572 0.9168 0.5765  4 Mn 2.26-2.48, 1 Co 2.53
16 Mn 0.8970 0.4944 0.8383  5 Mn 2.26-2.48, 1 Co 2.33
17 Mn 0.6030 0.0056 0.3383  5 Mn 2.26-2.48, 1 Co 2.33
18 Mn 0.8970 0.0056 0.8383  5 Mn 2.26-2.48, 1 Co 2.33
19 Mn 0.6428 0.5832 0.0765  4 Mn 2.26-2.48, 1 Co 2.53
20 Co 0.6187 0.7500 0.8377  6 Mn 2.29-2.53
21 Mn 0.1428 0.0832 0.4235  4 Mn 2.26-2.48, 1 Co 2.53
22 Co 0.1187 0.2500 0.6623  6 Mn 2.29-2.53
23 Mn 0.3572 0.0832 0.9235  4 Mn 2.26-2.48, 1 Co 2.53
24 Mn 0.3572 0.4168 0.9235  4 Mn 2.26-2.48, 1 Co 2.53
25 Mn 0.1125 0.7500 0.9955  6 Mn 2.31-2.56
26 Mn 0.3875 0.7500 0.4955  6 Mn 2.31-2.56
27 Mn 0.8572 0.5832 0.5765  4 Mn 2.26-2.48, 1 Co 2.53
28 Mn 0.3970 0.5056 0.6617  5 Mn 2.26-2.48, 1 Co 2.33

Magnetic moment   1.77 μB/cell
Energy relative to the elements   1.02 eV per formula unit



(3)
Computed, not measured: an optimized crystal structure of Cu3As at the PBE level of DFT.

Unit cell a=4.6316 b=4.6316 c=4.6316 alpha=132.37 beta=132.43 gamma=69.60
Closest atoms and distances in Å follow each position.
Positions (direct):
1 Cu 0.7501 0.7501 0.0000  8 Cu 2.64-2.67, 4 As 2.67
2 Cu 0.0000 0.5000 0.5000  4 As 2.64, 8 Cu 2.67
3 As 0.5000 0.0000 0.5000  12 Cu 2.64-2.67
4 Cu 0.2499 0.2499 0.0000  8 Cu 2.64-2.67, 4 As 2.67

Magnetic moment   0.00 μB/cell
Energy relative to the elements   0.24 eV per formula unit



(4)
Computed, not measured: an optimized crystal structure of AlFeHg2 at the PBE level of DFT.

Unit cell a=4.9288 b=3.0373 c=5.0864 alpha=93.40 beta=90.00 gamma=90.00
Closest atoms and distances in Å follow each position.
Positions (direct):
1 Hg 0.0000 0.0184 0.9929  2 Fe 2.85, 2 Al 2.86, 6 Hg 2.88-3.16
2 Fe 0.5000 0.7500 0.7500  4 Hg 2.85, 4 Al 2.88-3.04, 2 Fe 3.04
3 Al 0.5000 0.2500 0.2500  4 Hg 2.86, 4 Fe 2.88-3.04, 2 Al 3.04
4 Hg 0.0000 0.4816 0.5071  2 Fe 2.85, 2 Al 2.86, 6 Hg 2.88-3.16

Magnetic moment   2.66 μB/cell
Energy relative to the elements   1.57 eV per formula unit